Entry 1:
Here is a geometry-optimized NaTaAlIr structure from OQMD via LeMat-Bulk. Energies are from PBE.

Properties
**Energy above the lowest structure with this stoichiometry**: 1.02 eV per formula unit
**Raw total energy**: -6.378 eV/atom
**M_tot**: 0.00 μB per formula unit

Cell and atoms, written as CIF:
```
data_NaTaAlIr
_symmetry_space_group_name_H-M 'P 1'
_symmetry_Int_Tables_number 1
_cell_length_a 4.529
_cell_length_b 4.529
_cell_length_c 4.529
_cell_angle_alpha 60.00
_cell_angle_beta 60.00
_cell_angle_gamma 60.00
loop_
_symmetry_equiv_pos_as_xyz
'x,y,z'
loop_
_atom_site_label
_atom_site_type_symbol
_atom_site_fract_x
_atom_site_fract_y
_atom_site_fract_z
_atom_site_occupancy
Al1 Al 0.500 0.500 0.500 1
Ir1 Ir 0.000 0.000 0.000 1
Na1 Na 0.750 0.750 0.750 1
Ta1 Ta 0.250 0.250 0.250 1
```

***

Entry 2:
Here is a geometry-optimized SbPd9 structure from OQMD via LeMat-Bulk. Energies are from PBE.

Properties
**Energy above the lowest structure with this stoichiometry**: 0.45 eV per formula unit
**Raw total energy**: -5.080 eV/atom

Cell and atoms, written as CIF:
```
data_SbPd9
_symmetry_space_group_name_H-M 'P 1'
_symmetry_Int_Tables_number 1
_cell_length_a 2.897
_cell_length_b 2.897
_cell_length_c 48.670
_cell_angle_alpha 90.00
_cell_angle_beta 90.00
_cell_angle_gamma 90.00
loop_
_symmetry_equiv_pos_as_xyz
'x,y,z'
loop_
_atom_site_label
_atom_site_type_symbol
_atom_site_fract_x
_atom_site_fract_y
_atom_site_fract_z
_atom_site_occupancy
Pd1 Pd 0.500 0.000 0.178 1
Pd2 Pd 0.000 0.500 0.218 1
Pd3 Pd 0.500 0.000 0.256 1
Pd4 Pd 0.000 0.500 0.294 1
Pd5 Pd 0.500 0.000 0.332 1
Pd6 Pd 0.000 0.500 0.369 1
Pd7 Pd 0.500 0.000 0.407 1
Pd8 Pd 0.000 0.500 0.444 1
Pd9 Pd 0.500 0.000 0.481 1
Pd10 Pd 0.000 0.500 0.519 1
Pd11 Pd 0.500 0.000 0.556 1
Pd12 Pd 0.000 0.500 0.593 1
Pd13 Pd 0.500 0.000 0.631 1
Pd14 Pd 0.000 0.500 0.668 1
Pd15 Pd 0.500 0.000 0.706 1
Pd16 Pd 0.000 0.500 0.744 1
Pd17 Pd 0.500 0.000 0.782 1
Pd18 Pd 0.000 0.500 0.822 1
Sb1 Sb 0.000 0.500 0.139 1
Sb2 Sb 0.500 0.000 0.861 1
```